Record 1
# ThBi2Pd8

A relaxed ThBi2Pd8 crystal (PBE-GGA, the Alexandria database).

```
ThBi2Pd8
1.0
5.448 0.000 0.000
-0.474 5.429 0.000
-0.906 -1.099 7.029
Th Bi Pd
1 2 8
direct
0.000 0.000 0.000
0.356 0.315 0.661
0.644 0.685 0.339
0.042 0.352 0.322
0.179 0.872 0.390
0.256 0.548 0.032
0.480 0.862 0.805
0.520 0.138 0.195
0.744 0.452 0.968
0.821 0.128 0.610
0.958 0.648 0.678
```

Calculated values
* ΔH_f (0 K): -474 meV/atom
* space group: P-1, No. 2

***

Record 2
# Ce2PmHf

A relaxed Ce2PmHf crystal (PBE-GGA, the Alexandria database).

```
Ce2PmHf
1.0
0.000 3.837 3.837
3.837 0.000 3.837
3.837 3.837 0.000
Ce Pm Hf
2 1 1
direct
0.250 0.250 0.250
0.750 0.750 0.750
0.000 0.000 0.000
0.500 0.500 0.500
```

Calculated values
* ΔH_f (0 K): 329 meV/atom
* space group: Fm-3m, No. 225
* offset from the most stable computed form: 182 meV/atom

***

Record 3
# Tb3Tm3PdRu2

A relaxed Tb3Tm3PdRu2 crystal (PBE-GGA, the Alexandria database).

```
Tb3Tm3PdRu2
1.0
7.266 0.000 0.000
-3.633 6.292 0.000
0.000 0.000 4.739
Tb Tm Pd Ru
3 3 1 2
direct
0.000 0.731 0.000
0.269 0.269 0.000
0.731 0.000 0.000
0.000 0.414 0.500
0.414 0.000 0.500
0.586 0.586 0.500
0.000 0.000 0.500
0.333 0.667 0.000
0.667 0.333 0.000
```

Calculated values
* ΔH_f (0 K): -378 meV/atom
* space group: P-62m, No. 189

***

Record 4
# RbZn

A relaxed RbZn crystal (PBE-GGA, the Alexandria database).

```
RbZn
1.0
2.790 -6.289 0.000
2.790 6.289 0.000
0.000 0.000 4.844
Rb Zn
2 2
direct
0.151 0.849 0.750
0.849 0.151 0.250
0.467 0.533 0.750
0.533 0.467 0.250
```

Calculated values
* ΔH_f (0 K): 102 meV/atom
* space group: Cmcm, No. 63

***

Record 5
# K3Tl

A relaxed K3Tl crystal (PBE-GGA, the Alexandria database).

```
K3Tl
1.0
6.961 0.000 0.000
0.000 6.961 0.000
0.000 0.000 6.961
K Tl
3 1
direct
0.000 0.000 0.500
0.000 0.500 0.000
0.500 0.000 0.000
0.000 0.000 0.000
```

Calculated values
* ΔH_f (0 K): 140 meV/atom
* space group: Pm-3m, No. 221

***

Record 6
# NdErTh2Rh4

A relaxed NdErTh2Rh4 crystal (PBE-GGA, the Alexandria database).

```
NdErTh2Rh4
1.0
0.000 5.604 4.190
3.949 0.000 4.190
3.949 5.604 0.000
Nd Er Th Rh
1 1 2 4
direct
0.000 0.000 0.000
0.425 0.425 0.575
0.277 0.277 0.223
0.777 0.777 0.723
0.304 0.762 0.238
0.514 0.914 0.486
0.762 0.304 0.696
0.914 0.514 0.086
```

Calculated values
* ΔH_f (0 K): -768 meV/atom
* space group: Fmm2, No. 42

***

Record 7
# Ba3CaS

A relaxed Ba3CaS crystal (PBE-GGA, the Alexandria database).

```
Ba3CaS
1.0
6.303 0.000 0.000
0.000 6.303 0.000
0.000 0.000 6.303
Ba Ca S
3 1 1
direct
0.000 0.000 0.500
0.000 0.500 0.000
0.500 0.000 0.000
0.500 0.500 0.500
0.000 0.000 0.000
```

Calculated values
* energy relative to the elements, uncorrected: -0.74 eV per atom
* space group: Pm-3m, No. 221
* offset from the most stable computed form: 0 meV/atom

***

Record 8
# Sm2DyAlN

A relaxed Sm2DyAlN crystal (PBE-GGA, the Alexandria database).

```
Sm2DyAlN
1.0
4.920 0.000 0.000
0.000 4.920 0.000
0.000 0.000 4.775
Sm Dy Al N
2 1 1 1
direct
0.000 0.500 0.000
0.500 0.000 0.000
0.000 0.000 0.500
0.500 0.500 0.500
0.000 0.000 0.000
```

Calculated values
* energy relative to the elements, uncorrected: -0.85 eV per atom
* space group: P4/mmm, No. 123

***

Record 9
# Cd3Ga5F12

A relaxed Cd3Ga5F12 crystal (PBE-GGA, the Alexandria database).

```
Cd3Ga5F12
1.0
-7.535 7.535 7.535
7.535 -7.535 7.535
7.535 7.535 -7.535
Cd Ga F
12 20 48
direct
0.125 0.250 0.375
0.125 0.375 0.750
0.250 0.375 0.125
0.250 0.875 0.625
0.375 0.125 0.250
0.375 0.750 0.125
0.625 0.250 0.875
0.625 0.875 0.750
0.750 0.125 0.375
0.750 0.625 0.875
0.875 0.625 0.250
0.875 0.750 0.625
0.000 0.000 0.000
0.000 0.000 0.500
0.000 0.500 0.000
0.000 0.500 0.500
0.125 0.750 0.875
0.125 0.875 0.250
0.250 0.125 0.875
0.250 0.625 0.375
0.375 0.250 0.625
0.375 0.625 0.750
0.500 0.000 0.000
0.500 0.000 0.500
0.500 0.500 0.000
0.500 0.500 0.500
0.625 0.375 0.250
0.625 0.750 0.375
0.750 0.375 0.625
0.750 0.875 0.125
0.875 0.125 0.750
0.875 0.250 0.125
0.015 0.716 0.121
0.015 0.798 0.894
0.096 0.702 0.716
0.096 0.894 0.379
0.106 0.621 0.904
0.106 0.985 0.202
0.121 0.015 0.716
0.121 0.606 0.404
0.202 0.106 0.985
0.202 0.596 0.216
0.216 0.202 0.596
0.216 0.515 0.621
0.284 0.879 0.985
0.284 0.904 0.298
0.298 0.284 0.904
0.298 0.515 0.394
0.379 0.096 0.894
0.379 0.784 0.485
0.394 0.298 0.515
0.394 0.596 0.879
0.404 0.121 0.606
0.404 0.784 0.798
0.485 0.379 0.784
0.485 0.606 0.702
0.515 0.394 0.298
0.515 0.621 0.216
0.596 0.216 0.202
0.596 0.879 0.394
0.606 0.404 0.121
0.606 0.702 0.485
0.621 0.216 0.515
0.621 0.904 0.106
0.702 0.485 0.606
0.702 0.716 0.096
0.716 0.096 0.702
0.716 0.121 0.015
0.784 0.485 0.379
0.784 0.798 0.404
0.798 0.404 0.784
0.798 0.894 0.015
0.879 0.394 0.596
0.879 0.985 0.284
0.894 0.015 0.798
0.894 0.379 0.096
0.904 0.106 0.621
0.904 0.298 0.284
0.985 0.202 0.106
0.985 0.284 0.879
```

Calculated values
* energy relative to the elements, uncorrected: -1.87 eV per atom
* space group: Ia-3d, No. 230

***

Record 10
# HoMnZn2

A relaxed HoMnZn2 crystal (PBE-GGA, the Alexandria database).

```
HoMnZn2
1.0
3.292 0.000 0.000
0.000 3.292 0.000
0.000 0.000 6.676
Ho Mn Zn
1 1 2
direct
0.000 0.000 0.000
0.000 0.000 0.500
0.500 0.500 0.298
0.500 0.500 0.702
```

Calculated values
* ΔH_f (0 K): -84 meV/atom
* space group: P4/mmm, No. 123

***

Record 11
# LaRu

A relaxed LaRu crystal (PBE-GGA, the Alexandria database).

```
LaRu
1.0
5.782 0.000 0.000
0.000 5.782 0.000
0.000 0.000 5.732
La Ru
4 4
direct
0.216 0.216 0.000
0.284 0.716 0.500
0.716 0.284 0.500
0.784 0.784 0.000
0.173 0.173 0.500
0.327 0.673 0.000
0.673 0.327 0.000
0.827 0.827 0.500
```

Calculated values
* ΔH_f (0 K): 159 meV/atom
* space group: P4_2/mnm, No. 136

***

Record 12
# Y8ZnPd2

A relaxed Y8ZnPd2 crystal (PBE-GGA, the Alexandria database).

```
Y8ZnPd2
1.0
8.869 -2.561 0.000
8.869 2.561 0.000
-1.940 0.000 6.562
Y Zn Pd
8 1 2
direct
0.033 0.033 0.283
0.200 0.200 0.823
0.329 0.329 0.519
0.407 0.407 0.038
0.593 0.593 0.962
0.671 0.671 0.481
0.800 0.800 0.177
0.967 0.967 0.717
0.500 0.500 0.500
0.184 0.184 0.221
0.816 0.816 0.779
```

Calculated values
* ΔH_f (0 K): -377 meV/atom
* space group: C2/m, No. 12
* offset from the most stable computed form: 0 meV/atom

***

Record 13
# BeZn2Ir

A relaxed BeZn2Ir crystal (PBE-GGA, the Alexandria database).

```
BeZn2Ir
1.0
-1.821 1.821 3.861
1.821 -1.821 3.861
1.821 1.821 -3.861
Be Zn Ir
1 2 1
direct
0.000 0.000 0.000
0.500 0.500 0.000
0.750 0.250 0.500
0.250 0.750 0.500
```

Calculated values
* ΔH_f (0 K): -183 meV/atom
* space group: I-4m2, No. 119

***

Record 14
# MnCu2Au3

A relaxed MnCu2Au3 crystal (PBE-GGA, the Alexandria database).

```
MnCu2Au3
1.0
4.552 0.000 0.000
0.000 6.004 0.000
-2.221 0.000 6.830
Mn Cu Au
2 4 6
direct
0.167 0.000 0.331
0.833 0.000 0.669
0.170 0.500 0.337
0.500 0.000 0.000
0.500 0.500 0.000
0.830 0.500 0.663
0.000 0.256 0.000
0.000 0.744 0.000
0.333 0.254 0.669
0.333 0.746 0.669
0.667 0.254 0.331
0.667 0.746 0.331
```

Calculated values
* ΔH_f (0 K): -52 meV/atom
* space group: P2/m, No. 10
* offset from the most stable computed form: 0 meV/atom

***

Record 15
# YHfAu

A relaxed YHfAu crystal (PBE-GGA, the Alexandria database).

```
YHfAu
1.0
3.387 0.000 0.000
0.000 3.387 0.000
0.000 0.000 12.221
Y Hf Au
2 2 2
direct
0.250 0.250 0.115
0.750 0.750 0.885
0.250 0.250 0.421
0.750 0.750 0.579
0.250 0.250 0.714
0.750 0.750 0.286
```

Calculated values
* ΔH_f (0 K): -459 meV/atom
* space group: P4/nmm, No. 129
* offset from the most stable computed form: 17 meV/atom